Entry 1:
## LaCu2SnCl (GGA-PBE)

Data for LaCu2SnCl after structural relaxation.

CIF file:
```
data_LaCu2SnCl
_chemical_formula_sum 'La1 Cu2 Sn1 Cl1'
_cell_length_a 4.773
_cell_length_b 4.773
_cell_length_c 6.282
_cell_angle_alpha 90.00
_cell_angle_beta 90.00
_cell_angle_gamma 90.00
_space_group_name_H-M_alt 'P 1'
_space_group_IT_number 1
loop_
_space_group_symop_operation_xyz
'x,y,z'
loop_
_atom_site_label
_atom_site_fract_x
_atom_site_fract_y
_atom_site_fract_z
_atom_site_occupancy
La1 0.000 0.000 0.000 1
Cu1 0.000 0.500 0.500 1
Cu2 0.500 0.000 0.500 1
Sn1 0.000 0.000 0.500 1
Cl1 0.500 0.500 0.000 1
```

Calculated values
V ... 143.1 Å³/cell
Mass density ... 4.9 g/cm³
Total magnetization ... 0.000 μB/f.u.
Fermi-level density of states ... 0.510 states/eV per atom
Energy ... -3.947 eV/atom
E_form (uncorrected) ... -152.7 meV per atom



Entry 2:
## La4CuTcCl2 (GGA-PBE)

Data for La4CuTcCl2 after structural relaxation.

CIF file:
```
data_La4CuTcCl2
_chemical_formula_sum 'La4 Cu1 Tc1 Cl2'
_cell_length_a 7.110
_cell_length_b 4.199
_cell_length_c 8.074
_cell_angle_alpha 90.00
_cell_angle_beta 107.13
_cell_angle_gamma 90.00
_space_group_name_H-M_alt 'P 1'
_space_group_IT_number 1
loop_
_space_group_symop_operation_xyz
'x,y,z'
loop_
_atom_site_label
_atom_site_fract_x
_atom_site_fract_y
_atom_site_fract_z
_atom_site_occupancy
La1 0.227 0.000 0.214 1
La2 0.248 0.500 0.792 1
La3 0.752 0.500 0.208 1
La4 0.773 0.000 0.786 1
Cu1 0.500 0.000 0.000 1
Tc1 0.000 0.500 0.000 1
Cl1 0.000 0.000 0.500 1
Cl2 0.500 0.500 0.500 1
```

Calculated values
V ... 230.4 Å³/cell
Mass density ... 5.7 g/cm³
Total magnetization ... 0.000 μB/f.u.
Fermi-level density of states ... 0.425 states/eV per atom
Energy ... -5.559 eV/atom
E_form (uncorrected) ... -825.8 meV per atom



Entry 3:
## La6CuTc2Cl3 (GGA-PBE)

Data for La6CuTc2Cl3 after structural relaxation.

CIF file:
```
data_La6CuTc2Cl3
_chemical_formula_sum 'La6 Cu1 Tc2 Cl3'
_cell_length_a 9.983
_cell_length_b 9.983
_cell_length_c 9.127
_cell_angle_alpha 109.97
_cell_angle_beta 109.97
_cell_angle_gamma 23.99
_space_group_name_H-M_alt 'P 1'
_space_group_IT_number 1
loop_
_space_group_symop_operation_xyz
'x,y,z'
loop_
_atom_site_label
_atom_site_fract_x
_atom_site_fract_y
_atom_site_fract_z
_atom_site_occupancy
La1 0.016 0.016 0.243 1
La2 0.324 0.324 0.443 1
La3 0.340 0.340 0.892 1
La4 0.660 0.660 0.108 1
La5 0.676 0.676 0.557 1
La6 0.984 0.984 0.757 1
Cu1 0.500 0.500 0.000 1
Tc1 0.150 0.150 0.319 1
Tc2 0.850 0.850 0.681 1
Cl1 0.174 0.174 0.832 1
Cl2 0.500 0.500 0.500 1
Cl3 0.826 0.826 0.168 1
```

Calculated values
V ... 346.5 Å³/cell
Mass density ... 5.7 g/cm³
Total magnetization ... 0.000 μB/f.u.
Fermi-level density of states ... 0.618 states/eV per atom
Energy ... -5.805 eV/atom
E_form (uncorrected) ... -810.5 meV per atom